[1]
Material: Pr3In3Hg2Rh
Method: DFT, PBE-GGA
State: optimized geometry

Cell: 7.8804 7.8804 4.3147 Å, 90.00 90.00 120.00°
Space group P-62m (No. 189)
Inequivalent atoms, fractional coordinates:
1 Pr 0.0000 0.6061 0.0000 [3 per cell]
2 In 0.0000 0.2378 0.5000 [3 per cell]
3 Hg 0.3333 0.6667 0.5000 [2 per cell]
4 Rh 0.0000 0.0000 0.0000 [1 per cell]

Values from the calculation:
DOS at the Fermi energy   8.1 states/eV/cell
Energy of formation from the pure elements   -53.8 kJ/mol of atoms

[2]
Material: Ba3Hg2Sb3
Method: DFT, PBE-GGA
State: optimized geometry

Cell: 4.9740 13.0858 17.5464 Å, 90.00 90.00 90.00°
Space group Cmcm (No. 63)
Inequivalent atoms, fractional coordinates:
1 Ba 0.0000 0.0794 0.1041 [8 per cell]
2 Ba 0.0000 0.3412 0.2500 [4 per cell]
3 Hg 0.0000 0.2314 0.5932 [8 per cell]
4 Sb 0.0000 0.3616 0.7500 [4 per cell]
5 Sb 0.0000 0.3832 0.0514 [8 per cell]

Values from the calculation:
Energy relative to the elements, uncorrected   -0.722 eV/atom
DOS at the Fermi energy   17.6 states/eV/cell

DOS at the Fermi energy of number 1 (Pr3In3Hg2Rh)?
8.1 states/eV/cell

Which value of DOS at the Fermi energy does entry 2 give?
17.6 states/eV/cell

What is the formula in the second record?
Ba3Hg2Sb3